Here is crystalline KRh2Au at its relaxed geometry from Alexandria via LeMat-Bulk. Energies are from GGA-PBE.

Calculated values
ρ	8.6	g/cm³
E_tot	-4.16	eV per atom
total magnetic moment	2.18	μB per formula unit
ΔE to the lowest computed polymorph	0.359	eV/atom
energy of formation from the pure elements	0.613	eV/atom

Cell and atoms, written as POSCAR:
```
KRh2Au
1.0
3.3655 0.0000 0.0000
0.0000 3.3655 0.0000
0.0000 0.0000 7.5546
Au K Rh
1 1 2
Cartesian
1.6827 1.6827 1.8887
1.6827 1.6827 5.6660
0.0000 0.0000 0.5556
0.0000 0.0000 3.2217
```

---

Here is crystalline KRhAu2 at its relaxed geometry from Alexandria via LeMat-Bulk. Energies are from GGA-PBE.

Calculated values
ρ	10.4	g/cm³
E_tot	-3.63	eV per atom
total magnetic moment	0.01	μB per formula unit
ΔE to the lowest computed polymorph	0.000	eV/atom
energy of formation from the pure elements	0.121	eV/atom

Cell and atoms, written as POSCAR:
```
KRhAu2
1.0
2.8293 0.0000 0.0000
0.0000 3.9814 0.0000
0.0000 0.0000 7.6173
Au K Rh
2 1 1
Cartesian
0.0000 0.0000 7.1440
0.0000 0.0000 4.2819
1.4147 1.9907 1.9043
1.4147 1.9907 5.7130
```

---

Here is crystalline KRh3Au at its relaxed geometry from Alexandria via LeMat-Bulk. Energies are from GGA-PBE.

Calculated values
ρ	8.8	g/cm³
E_tot	-3.10	eV per atom
total magnetic moment	2.26	μB per formula unit
ΔE to the lowest computed polymorph	0.918	eV/atom
energy of formation from the pure elements	2.184	eV/atom

Cell and atoms, written as POSCAR:
```
KRh3Au
1.0
4.6871 0.0000 0.0000
0.0000 4.6871 0.0000
0.0000 0.0000 4.6871
Rh K Au
3 1 1
Cartesian
0.0000 2.3435 0.0000
0.0000 0.0000 2.3435
2.3435 0.0000 0.0000
0.0000 0.0000 0.0000
2.3435 2.3435 2.3435
```

---

Here is crystalline KRhAu2 at its relaxed geometry from Alexandria via LeMat-Bulk. Energies are from GGA-PBE.

Calculated values
ρ	11.3	g/cm³
E_tot	-3.52	eV per atom
total magnetic moment	0.71	μB per formula unit
ΔE to the lowest computed polymorph	0.111	eV/atom
energy of formation from the pure elements	0.232	eV/atom

Cell and atoms, written as POSCAR:
```
KRhAu2
1.0
-0.7761 -5.0370 1.4641
3.3958 1.2754 3.8677
-2.1589 0.8062 1.6297
Au K Rh
2 1 1
Cartesian
0.0000 0.0000 0.0000
1.3099 -1.8808 2.6659
-1.4675 -2.1154 1.5469
0.6185 1.0408 2.7487
```

---

Here is crystalline KRh2Au at its relaxed geometry from Alexandria via LeMat-Bulk. Energies are from GGA-PBE.

Calculated values
ρ	9.8	g/cm³
E_tot	-4.08	eV per atom
total magnetic moment	1.83	μB per formula unit
ΔE to the lowest computed polymorph	0.440	eV/atom
energy of formation from the pure elements	0.693	eV/atom

Cell and atoms, written as POSCAR:
```
KRh2Au
1.0
-1.8592 0.2478 -4.5835
4.0160 -0.7802 -2.7909
-1.6325 -2.7975 3.7464
Au K Rh
1 1 2
Cartesian
1.0784 -0.2662 -3.6872
-1.2066 -1.4080 -2.2622
0.0000 0.0000 0.0000
1.7310 -1.9220 -1.3659
```

---

Here is crystalline KRhAu2 at its relaxed geometry from Alexandria via LeMat-Bulk. Energies are from GGA-PBE.

Calculated values
ρ	10.8	g/cm³
E_tot	-3.50	eV per atom
total magnetic moment	0.74	μB per formula unit
ΔE to the lowest computed polymorph	0.131	eV/atom
energy of formation from the pure elements	0.252	eV/atom

Cell and atoms, written as POSCAR:
```
KRhAu2
1.0
-1.2192 5.3528 -3.0444
-5.5461 1.1690 -2.6986
3.7837 -1.0630 4.8950
Au K Rh
2 1 1
Cartesian
-6.7173 6.4756 -5.7023
-2.4028 1.5199 -0.1935
-3.4095 3.2868 -2.8943
-0.5998 3.9592 -0.6724
```

---

Here is crystalline KRhAu2 at its relaxed geometry from Alexandria via LeMat-Bulk. Energies are from GGA-PBE.

Calculated values
ρ	9.9	g/cm³
E_tot	-3.55	eV per atom
total magnetic moment	0.61	μB per formula unit
ΔE to the lowest computed polymorph	0.077	eV/atom
energy of formation from the pure elements	0.198	eV/atom

Cell and atoms, written as POSCAR:
```
KRhAu2
1.0
4.7128 0.0004 -0.0026
3.8645 2.6974 -0.0026
0.6364 0.2002 7.0818
Au K Rh
2 1 1
Cartesian
8.5180 2.6792 0.4862
4.6662 1.4677 3.0469
6.9103 2.1735 5.3075
2.3034 0.7245 1.7692
```

---

Here is crystalline KRh2Au at its relaxed geometry from Alexandria via LeMat-Bulk. Energies are from GGA-PBE.

Calculated values
ρ	8.2	g/cm³
E_tot	-4.32	eV per atom
total magnetic moment	0.25	μB per formula unit
ΔE to the lowest computed polymorph	0.196	eV/atom
energy of formation from the pure elements	0.449	eV/atom

Cell and atoms, written as POSCAR:
```
KRh2Au
1.0
6.2139 0.1545 0.4881
5.5174 2.8628 0.4881
2.2426 0.5768 5.4446
Au K Rh
1 1 2
Cartesian
10.4804 2.6956 4.8156
3.4935 0.8985 1.6052
2.4200 0.6224 4.8138
6.8096 1.7514 3.8411
```

---

Here is crystalline KRhAu2 at its relaxed geometry from Alexandria via LeMat-Bulk. Energies are from GGA-PBE.

Calculated values
ρ	11.5	g/cm³
E_tot	-3.42	eV per atom
total magnetic moment	0.50	μB per formula unit
ΔE to the lowest computed polymorph	0.213	eV/atom
energy of formation from the pure elements	0.335	eV/atom

Cell and atoms, written as POSCAR:
```
KRhAu2
1.0
10.3575 0.0082 0.0048
9.9322 2.9376 0.0048
9.9322 1.4420 2.5593
Au K Rh
2 1 1
Cartesian
0.2751 0.0399 0.0234
14.8359 2.1539 1.2611
7.5555 1.0969 0.6422
22.6664 3.2908 1.9267
```

---

Here is crystalline KRh2Au at its relaxed geometry from Alexandria via LeMat-Bulk. Energies are from GGA-PBE.

Calculated values
ρ	9.1	g/cm³
E_tot	-4.27	eV per atom
total magnetic moment	0.00	μB per formula unit
ΔE to the lowest computed polymorph	0.246	eV/atom
energy of formation from the pure elements	0.500	eV/atom

Cell and atoms, written as POSCAR:
```
KRh2Au
1.0
-0.4745 4.2231 -2.2141
-1.8661 -1.1312 -1.7578
-5.0615 1.1045 3.1914
Au K Rh
1 1 2
Cartesian
-1.9691 2.1049 -0.7486
-5.4329 2.0915 -0.0318
-0.4364 0.0179 0.1277
-3.0273 -0.0313 0.5891
```

---

Here is crystalline KRh2Au at its relaxed geometry from Alexandria via LeMat-Bulk. Energies are from GGA-PBE.

Calculated values
ρ	7.4	g/cm³
E_tot	-4.15	eV per atom
total magnetic moment	1.04	μB per formula unit
ΔE to the lowest computed polymorph	0.366	eV/atom
energy of formation from the pure elements	0.620	eV/atom

Cell and atoms, written as POSCAR:
```
KRh2Au
1.0
-0.2560 -3.5170 -2.8690
4.3141 -1.0814 0.9407
-0.9585 -7.9547 6.2353
Rh K Au
4 2 2
Cartesian
0.1001 -4.8648 -0.5595
2.2082 -6.0783 -0.6380
0.1371 -7.5235 3.8082
-0.8163 -9.0751 2.1937
2.0290 -2.2992 -0.9642
2.6923 -5.6677 3.1059
0.0000 0.0000 0.0000
0.4073 -6.8854 1.2011
```

---

Here is crystalline KRh3Au at its relaxed geometry from Alexandria via LeMat-Bulk. Energies are from GGA-PBE.

Calculated values
ρ	7.2	g/cm³
E_tot	-4.02	eV per atom
total magnetic moment	2.45	μB per formula unit
ΔE to the lowest computed polymorph	0.000	eV/atom
energy of formation from the pure elements	1.266	eV/atom

Cell and atoms, written as POSCAR:
```
KRh3Au
1.0
-3.4233 -2.1638 2.9516
3.5545 -1.0031 3.3871
-0.8717 4.4073 2.2200
Rh K Au
3 1 1
Cartesian
1.7772 -0.5016 1.6935
-0.4358 2.2037 1.1100
-1.7116 -1.0819 1.4758
-0.3702 0.6202 4.2794
0.0000 0.0000 0.0000
```